{
  "formula": "EuPuCuRu",
  "functional": "PBE",
  "state": "relaxed",
  "cell": [[-2.8254, -2.0679, 3.4385], [1.9109, -1.1775, 4.3640], [-1.2607, 2.5495, 3.9992]],
  "species": ["Eu", "Cu", "Pu", "Ru"],
  "fractional_positions": [[0.5000, 0.5000, 0.5000], [0.2500, 0.2500, 0.2500], [0.0000, 0.0000, 0.0000], [0.7500, 0.7500, 0.7500]],
  "space_group": "F-43m (216)",
  "dft_energy_ev_per_atom": -9.42,
  "magnetic_moment_mub_per_fu": 11.58,
  "crystal_system": "cubic",
  "mass_density_g_cm3": 11.139
}